# YCd4Hg2

YCd4Hg2 after structural relaxation (PBE, the Alexandria database).

Lattice parameters (Å, degrees): 3.3886 4.9355 10.1189 104.12 90.00 90.00
Closest atoms and distances in Å follow each position.
Fractional coordinates of all 7 atoms:
Cd: 0.0000 0.7071 0.4142  8 Cd 2.99-3.20, 2 Hg 3.11
Y: 0.0000 0.0000 0.0000  8 Hg 3.33, 2 Y 3.39, 4 Cd 3.48
Hg: 0.5000 0.4260 0.8519  1 Hg 2.91, 4 Cd 2.93-3.11
Cd: 0.5000 0.1548 0.3096  2 Hg 2.93, 6 Cd 3.16-3.20
Hg: 0.5000 0.5740 0.1481  1 Hg 2.91, 4 Cd 2.93-3.11
Cd: 0.0000 0.2929 0.5858  8 Cd 2.99-3.20, 2 Hg 3.11
Cd: 0.5000 0.8452 0.6904  2 Hg 2.93, 6 Cd 3.16-3.20

The value obtained for the formation energy is -1.1 eV/f.u. Its crystal system is orthorhombic. As for the final energy: -0.062 Ha/atom. As for the offset from the most stable computed form: 0 meV per atom.

=====

# Y6CdHg5

Y6CdHg5 after structural relaxation (PBE, the Alexandria database).

Lattice parameters (Å, degrees): 5.2613 7.4702 8.3565 90.00 71.65 90.00
Closest atoms and distances in Å follow each position.
Fractional coordinates of all 12 atoms:
Y: 0.8321 0.7504 0.3358  7 Hg 3.23-3.28, 1 Cd 3.25
Y: 0.5000 0.7471 0.0000  6 Hg 3.19-3.21, 2 Cd 3.24
Y: 0.1679 0.7504 0.6642  7 Hg 3.23-3.28, 1 Cd 3.25
Hg: 0.6618 0.0000 0.6764  8 Y 3.19-3.28
Hg: 0.3342 0.5000 0.3315  8 Y 3.21-3.23
Y: 0.1679 0.2496 0.6642  7 Hg 3.23-3.28, 1 Cd 3.25
Cd: 0.0000 0.0000 0.0000  8 Y 3.24-3.25
Hg: 0.0000 0.5000 0.0000  8 Y 3.21-3.25
Hg: 0.6658 0.5000 0.6685  8 Y 3.21-3.23
Y: 0.8321 0.2496 0.3358  7 Hg 3.23-3.28, 1 Cd 3.25
Hg: 0.3382 0.0000 0.3236  8 Y 3.19-3.28
Y: 0.5000 0.2529 0.0000  6 Hg 3.19-3.21, 2 Cd 3.24

The value obtained for the formation energy is -5.8 eV/f.u. Its crystal system is orthorhombic. As for the final energy: -0.144 Ha/atom.

=====

# Y3CdHg2

Y3CdHg2 after structural relaxation (PBE, the Alexandria database).

Lattice parameters (Å, degrees): 5.2724 5.2724 12.9770 90.00 90.00 120.00
Closest atoms and distances in Å follow each position.
Fractional coordinates of all 12 atoms:
Hg: 0.0000 0.0000 0.5000  8 Y 3.23-3.27
Cd: 0.6667 0.3333 0.3316  8 Y 3.23-3.25
Hg: 0.6667 0.3333 0.8270  8 Y 3.18-3.30
Y: 0.6667 0.3333 0.0810  7 Hg 3.22-3.30, 1 Cd 3.25
Y: 0.3333 0.6667 0.4179  4 Hg 3.18-3.23, 4 Cd 3.24-3.25
Hg: 0.3333 0.6667 0.1730  8 Y 3.18-3.30
Y: 0.3333 0.6667 0.9190  7 Hg 3.22-3.30, 1 Cd 3.25
Cd: 0.3333 0.6667 0.6684  8 Y 3.23-3.25
Y: 0.0000 0.0000 0.7517  5 Hg 3.20-3.27, 3 Cd 3.23
Y: 0.0000 0.0000 0.2483  5 Hg 3.20-3.27, 3 Cd 3.23
Hg: 0.0000 0.0000 0.0000  8 Y 3.22
Y: 0.6667 0.3333 0.5821  4 Hg 3.18-3.23, 4 Cd 3.24-3.25

The value obtained for the formation energy is -2.7 eV/f.u. Its crystal system is trigonal. As for the final energy: -0.145 Ha/atom. As for the offset from the most stable computed form: 3 meV per atom.

=====

# YCd6Hg

YCd6Hg after structural relaxation (PBE, the Alexandria database).

Lattice parameters (Å, degrees): 4.8329 6.0836 7.1438 115.20 90.00 90.00
Closest atoms and distances in Å follow each position.
Fractional coordinates of all 8 atoms:
Cd: 0.0000 0.2998 0.5997  8 Cd 3.14-3.33, 2 Hg 3.16
Cd: 0.5000 0.6650 0.8544  6 Cd 2.89-3.19, 1 Hg 3.21
Hg: 0.5000 0.1423 0.2846  8 Cd 3.03-3.21, 2 Y 3.12
Y: 0.5000 0.6966 0.3932  2 Hg 3.12, 8 Cd 3.21-3.38
Cd: 0.0000 0.8596 0.7193  8 Cd 3.02-3.19, 2 Y 3.21
Cd: 0.0000 0.8123 0.1473  5 Cd 2.90-3.19, 2 Hg 3.03, 2 Y 3.24
Cd: 0.5000 0.1894 0.8544  6 Cd 2.89-3.19, 1 Hg 3.21
Cd: 0.0000 0.3350 0.1473  5 Cd 2.90-3.19, 2 Hg 3.03, 2 Y 3.24

The value obtained for the formation energy is -0.9 eV/f.u. Its crystal system is orthorhombic. As for the final energy: -0.060 Ha/atom.

=====

# Y4CdHg

Y4CdHg after structural relaxation (PBE, the Alexandria database).

Lattice parameters (Å, degrees): 6.3243 6.3243 6.3243 60.00 60.00 60.00
Closest atoms and distances in Å follow each position.
Fractional coordinates of all 6 atoms:
Y: 0.3750 0.3750 0.3750  6 Y 3.16
Y: 0.3750 0.8749 0.3750  6 Y 3.16
Y: 0.8749 0.3750 0.3750  6 Y 3.16
Hg: 0.0000 0.0000 0.0000  12 Y 3.71, 4 Cd 3.87
Y: 0.3750 0.3750 0.8749  6 Y 3.16
Cd: 0.7500 0.7500 0.7500  12 Y 3.71, 4 Hg 3.87

The value obtained for the formation energy is 1.7 eV/f.u. Its crystal system is cubic. As for the final energy: -0.155 Ha/atom. As for the offset from the most stable computed form: 562 meV per atom.

=====

# YCd2Hg8

YCd2Hg8 after structural relaxation (PBE, the Alexandria database).

Lattice parameters (Å, degrees): 4.6296 9.5677 8.0263 53.41 89.94 89.91
Closest atoms and distances in Å follow each position.
Fractional coordinates of all 11 atoms:
Hg: 0.5004 0.6742 0.0000  1 Y 3.12, 4 Cd 3.22, 5 Hg 3.24-3.33
Hg: 0.9993 0.3119 0.7276  1 Cd 3.11, 6 Hg 3.17-3.36, 2 Y 3.36
Hg: 0.0007 0.9606 0.7276  1 Cd 3.11, 6 Hg 3.17-3.36, 2 Y 3.36
Y: 0.5000 0.0000 0.0000  12 Hg 3.12-3.36
Hg: 0.4996 0.3258 0.0000  1 Y 3.12, 4 Cd 3.22, 5 Hg 3.24-3.33
Hg: 0.0007 0.6881 0.2724  1 Cd 3.11, 6 Hg 3.17-3.36, 2 Y 3.36
Cd: 0.0000 0.3840 0.2321  8 Hg 2.94-3.22, 1 Cd 2.99
Cd: 0.0000 0.6160 0.7679  8 Hg 2.94-3.22, 1 Cd 2.99
Hg: 0.9993 0.0394 0.2724  1 Cd 3.11, 6 Hg 3.17-3.36, 2 Y 3.36
Hg: 0.5000 0.7571 0.4858  2 Cd 2.94, 1 Y 3.13, 4 Hg 3.17
Hg: 0.5000 0.2429 0.5142  2 Cd 2.94, 1 Y 3.13, 4 Hg 3.17

The value obtained for the formation energy is -1.0 eV/f.u. Its crystal system is monoclinic. As for the final energy: -0.039 Ha/atom. As for the offset from the most stable computed form: 24 meV per atom.

=====

# Y3Cd2Hg3

Y3Cd2Hg3 after structural relaxation (PBE, the Alexandria database).

Lattice parameters (Å, degrees): 3.8269 7.9065 7.9065 120.00 90.00 90.00
Closest atoms and distances in Å follow each position.
Fractional coordinates of all 8 atoms:
Y: 0.5000 0.6325 0.0000  4 Cd 3.16, 4 Hg 3.21
Y: 0.5000 0.0000 0.6325  4 Cd 3.16, 4 Hg 3.21
Y: 0.5000 0.3675 0.3675  4 Cd 3.16, 4 Hg 3.21
Hg: 0.0000 0.7471 0.7471  2 Cd 3.00, 4 Y 3.21
Cd: 0.0000 0.3333 0.6667  3 Hg 3.00, 6 Y 3.16
Hg: 0.0000 0.0000 0.2529  2 Cd 3.00, 4 Y 3.21
Hg: 0.0000 0.2529 0.0000  2 Cd 3.00, 4 Y 3.21
Cd: 0.0000 0.6667 0.3333  3 Hg 3.00, 6 Y 3.16

The value obtained for the formation energy is -2.6 eV/f.u. Its crystal system is hexagonal. As for the final energy: -0.114 Ha/atom.

=====

# YCd8Hg6

YCd8Hg6 after structural relaxation (PBE, the Alexandria database).

Lattice parameters (Å, degrees): 8.5312 8.5312 7.9751 57.67 57.67 60.00
Closest atoms and distances in Å follow each position.
Fractional coordinates of all 15 atoms:
Hg: 0.7500 0.4170 0.7978  6 Cd 2.97-3.22, 1 Y 3.12
Hg: 0.4170 0.0353 0.7978  6 Cd 2.97-3.22, 1 Y 3.12
Cd: 0.2420 0.8589 0.3290  4 Hg 2.97-2.98, 1 Cd 3.20
Cd: 0.5701 0.2420 0.3290  4 Hg 2.97-2.98, 1 Cd 3.20
Cd: 0.3459 0.3459 0.9622  6 Hg 3.04-3.22, 3 Cd 3.20
Hg: 0.2500 0.5830 0.2022  6 Cd 2.97-3.22, 1 Y 3.12
Cd: 0.8589 0.5701 0.3290  4 Hg 2.97-2.98, 1 Cd 3.20
Hg: 0.9647 0.2500 0.2022  6 Cd 2.97-3.22, 1 Y 3.12
Cd: 0.6541 0.6541 0.0378  6 Hg 3.04-3.22, 3 Cd 3.20
Y: 0.0000 0.0000 0.0000  6 Hg 3.12
Cd: 0.1411 0.4299 0.6710  4 Hg 2.97-2.98, 1 Cd 3.20
Cd: 0.7580 0.1411 0.6710  4 Hg 2.97-2.98, 1 Cd 3.20
Cd: 0.4299 0.7580 0.6710  4 Hg 2.97-2.98, 1 Cd 3.20
Hg: 0.0353 0.7500 0.7978  6 Cd 2.97-3.22, 1 Y 3.12
Hg: 0.5830 0.9647 0.2022  6 Cd 2.97-3.22, 1 Y 3.12

The value obtained for the formation energy is -0.2 eV/f.u. Its crystal system is trigonal. As for the final energy: -0.039 Ha/atom.

=====

# YCd3Hg4

YCd3Hg4 after structural relaxation (PBE, the Alexandria database).

Lattice parameters (Å, degrees): 4.7866 8.2436 9.5663 90.00 90.00 90.00
Closest atoms and distances in Å follow each position.
Fractional coordinates of all 16 atoms:
Cd: 0.4999 0.5000 0.7500  8 Hg 3.18-3.19, 4 Y 3.38
Cd: 0.0000 0.0000 0.5000  8 Hg 3.13, 4 Cd 3.38
Hg: 0.5000 0.2449 0.5000  6 Cd 3.13-3.18, 2 Y 3.19, 4 Hg 3.38
Hg: 0.5000 0.7551 0.0000  6 Cd 3.13-3.18, 2 Y 3.19, 4 Hg 3.38
Hg: 0.0002 0.7551 0.2500  6 Cd 3.13-3.19, 2 Y 3.18, 4 Hg 3.38
Hg: 0.5000 0.7551 0.5000  6 Cd 3.13-3.18, 2 Y 3.19, 4 Hg 3.38
Hg: 0.9998 0.7551 0.7500  6 Cd 3.13-3.19, 2 Y 3.18, 4 Hg 3.38
Cd: 0.0000 0.0000 0.0000  8 Hg 3.13, 4 Cd 3.38
Cd: 0.5001 0.0000 0.2500  8 Hg 3.13, 4 Cd 3.38
Y: 0.0000 0.5000 0.5000  8 Hg 3.18-3.19, 4 Cd 3.38
Hg: 0.5000 0.2449 0.0000  6 Cd 3.13-3.18, 2 Y 3.19, 4 Hg 3.38
Cd: 0.5001 0.5000 0.2500  8 Hg 3.18-3.19, 4 Y 3.38
Y: 0.0000 0.5000 0.0000  8 Hg 3.18-3.19, 4 Cd 3.38
Hg: 0.9998 0.2449 0.7500  6 Cd 3.13-3.19, 2 Y 3.18, 4 Hg 3.38
Hg: 0.0002 0.2449 0.2500  6 Cd 3.13-3.19, 2 Y 3.18, 4 Hg 3.38
Cd: 0.4999 0.0000 0.7500  8 Hg 3.13, 4 Cd 3.38

The value obtained for the formation energy is -1.4 eV/f.u. Its crystal system is tetragonal. As for the final energy: -0.054 Ha/atom.

=====

# Y3CdHg

Y3CdHg after structural relaxation (PBE, the Alexandria database).

Lattice parameters (Å, degrees): 5.2532 5.2498 10.3562 90.00 75.31 90.00
Closest atoms and distances in Å follow each position.
Fractional coordinates of all 10 atoms:
Hg: 0.6682 0.7500 0.3119  8 Y 3.23-3.24
Y: 0.0742 0.7500 0.4999  4 Hg 3.23, 4 Cd 3.24-3.25
Y: 0.5741 0.2500 0.5001  4 Hg 3.23, 4 Cd 3.24-3.25
Y: 0.3854 0.2500 0.8775  2 Cd 3.23, 2 Hg 3.24, 4 Y 3.59-3.61
Y: 0.7621 0.2500 0.1241  2 Cd 3.22, 2 Hg 3.23
Y: 0.2629 0.7500 0.1225  2 Cd 3.23, 2 Hg 3.24, 4 Y 3.59-3.61
Cd: 0.4791 0.7500 0.6902  8 Y 3.22-3.25
Hg: 0.9801 0.2500 0.6881  8 Y 3.23-3.24
Y: 0.8862 0.7500 0.8759  2 Cd 3.22, 2 Hg 3.23
Cd: 0.1693 0.2500 0.3098  8 Y 3.22-3.25

The value obtained for the formation energy is -1.6 eV/f.u. Its crystal system is orthorhombic. As for the final energy: -0.163 Ha/atom. As for the offset from the most stable computed form: 0 meV per atom.

=====

# Y7Cd2Hg2

Y7Cd2Hg2 after structural relaxation (PBE, the Alexandria database).

Lattice parameters (Å, degrees): 6.8485 7.7315 6.8485 90.00 110.47 90.00
Closest atoms and distances in Å follow each position.
Fractional coordinates of all 11 atoms:
Cd: 0.1758 0.5000 0.1758  1 Cd 2.75
Y: 0.0000 0.7160 0.5000  2 Hg 2.98, 2 Cd 3.32
Hg: 0.2942 0.0000 0.7058  7 Y 2.98-3.31
Y: 0.0000 0.2840 0.5000  2 Hg 2.98, 2 Cd 3.32
Y: 0.5000 0.2840 0.0000  2 Hg 2.98, 2 Cd 3.32
Y: 0.0000 0.0000 0.0000  2 Hg 3.31
Y: 0.5000 0.2618 0.5000  2 Hg 3.08, 2 Cd 3.13, 4 Y 3.43
Hg: 0.7058 0.0000 0.2942  7 Y 2.98-3.31
Cd: 0.8242 0.5000 0.8242  1 Cd 2.75
Y: 0.5000 0.7382 0.5000  2 Hg 3.08, 2 Cd 3.13, 4 Y 3.43
Y: 0.5000 0.7160 0.0000  2 Hg 2.98, 2 Cd 3.32

The value obtained for the formation energy is -0.7 eV/f.u. Its crystal system is orthorhombic. As for the final energy: -0.162 Ha/atom.